## Er3Sc5S8 (PBE-GGA)

Data for a geometry-optimized Er3Sc5S8 structure.

The structure belongs to space group R-3m (No. 166, hexagonal axes); the cell edges are 7.5245, 7.5245 and 18.4087 Å and the angles 90.00°, 90.00° and 120.00°. Symmetry generates all atoms from Er at (0.0000, 0.5000, 0.0000), Sc at (0.0000, 0.0000, 0.0000), Sc at (0.0000, 0.0000, 0.5000), Sc at (0.0000, 0.5000, 0.5000), S at (0.0000, 0.0000, 0.2458) and S at (0.0056, 0.5028, 0.7528).

The calculation puts the density of states at the Fermi level at 0.70 states/eV/atom. The calculation puts the raw formation energy at -1.89 eV per atom. As for the electronic total energy: -6.788 eV per atom.

## YSbTe2Ir (PBE-GGA)

Data for a geometry-optimized YSbTe2Ir structure.

The structure belongs to space group P4/mmm (No. 123); the cell edges are 5.467, 5.467 and 4.920 Å and the angles 90.00°, 90.00° and 90.00°. Symmetry generates all atoms from Y at (0.000, 0.000, 0.000), Sb at (0.500, 0.500, 0.000), Te at (0.000, 0.500, 0.500) and Ir at (0.500, 0.500, 0.500).

The energy above the lowest structure with this stoichiometry comes out at 0.000 eV per atom. The calculation puts the density of states at the Fermi level at 0.62 states/eV/atom. The calculation puts the raw formation energy at -0.01 eV per atom. As for the electronic total energy: -5.158 eV per atom.

## ErZn6Au4 (PBE-GGA)

Data for a geometry-optimized ErZn6Au4 structure.

The structure belongs to space group P-6m2 (No. 187); the cell edges are 7.5127, 7.5127 and 4.0735 Å and the angles 90.00°, 90.00° and 120.00°. Symmetry generates all atoms from Er at (0.0000, 0.0000, 0.0000), Zn at (0.2039, 0.4079, 0.5000), Zn at (0.5386, 0.0771, 0.0000), Au at (0.3333, 0.6667, 0.0000) and Au at (0.3798, 0.1899, 0.5000).

The calculation puts the density of states at the Fermi level at 0.43 states/eV/atom. As for the electronic total energy: -2.634 eV per atom. The calculated formation energy comes out at -332 meV/atom.

Number 1: M_tot 0.00 μB/f.u.. Number 2: M_tot 0.00 μB/f.u.. Number 3: M_tot 0.00 μB/f.u..